1.
Below is ZnIn2Sn after structural relaxation, with properties calculated at the PBE-GGA level.

Output
crystal system: tetragonal
volume: 407.0 Å³/cell
E_form: 126 meV per atom
energy: -0.094 Ha/atom

a = 8.2084 Å, b = 8.2084 Å, c = 6.0398 Å
α = 90.00°, β = 90.00°, γ = 90.00°
Closest atoms and distances in Å follow each position.
Space group I-42d (No. 122)
Inequivalent atoms, fractional coordinates:
Zn: 0.0000 0.0000 0.0000 x4  4 In 2.83, 2 Sn 3.02
In: 0.2197 0.2500 0.1250 x8  2 Zn 2.83, 2 In 3.06, 2 Sn 3.17
Sn: 0.0000 0.0000 0.5000 x4  2 Zn 3.02, 4 In 3.17

***

2.
Below is CaTm2H after structural relaxation, with properties calculated at the PBE-GGA level.

Output
crystal system: trigonal
volume: 303.4 Å³/cell
energy: -0.131 Ha/atom

a = 3.5303 Å, b = 3.5303 Å, c = 28.1079 Å
α = 90.00°, β = 90.00°, γ = 120.00°
Closest atoms and distances in Å follow each position.
Space group R-3m (No. 166, hexagonal axes)
Inequivalent atoms, fractional coordinates:
Ca: 0.0000 0.0000 0.0000 x3  2 Tm 3.38, 6 Ca 3.53
Tm: 0.0000 0.0000 0.1201 x6  3 H 2.42
H: 0.0000 0.0000 0.5000 x3  6 Tm 2.42

***

3.
Below is TaMo5 after structural relaxation, with properties calculated at the PBE-GGA level.

Output
crystal system: tetragonal
volume: 97.2 Å³/cell
energy relative to the lowest polymorph listed for this composition: 14 meV per atom
E_form: -95 meV per atom
energy: -0.408 Ha/atom

a = 3.1800 Å, b = 3.1800 Å, c = 9.6163 Å
α = 90.00°, β = 90.00°, γ = 90.00°
Closest atoms and distances in Å follow each position.
Space group P4/mmm (No. 123)
Inequivalent atoms, fractional coordinates:
Ta: 0.0000 0.0000 0.0000 x1  8 Mo 2.79
Mo: 0.0000 0.0000 0.3349 x2  8 Mo 2.74-2.75
Mo: 0.5000 0.5000 0.1720 x2  4 Mo 2.74, 4 Ta 2.79
Mo: 0.5000 0.5000 0.5000 x1  8 Mo 2.75

***

4.
Below is SmScGaCo after structural relaxation, with properties calculated at the PBE-GGA level.

Output
crystal system: cubic
volume: 319.3 Å³/cell
E_form: -300 meV per atom
energy: -0.206 Ha/atom

a = 6.8350 Å, b = 6.8350 Å, c = 6.8350 Å
α = 90.00°, β = 90.00°, γ = 90.00°
Closest atoms and distances in Å follow each position.
Space group F-43m (No. 216)
Inequivalent atoms, fractional coordinates:
Sm: 0.0000 0.0000 0.0000 x4  4 Ga 2.96, 4 Co 2.96
Sc: 0.0000 0.0000 0.5000 x4  4 Co 2.96, 4 Ga 2.96
Ga: 0.2500 0.2500 0.7500 x4  4 Sc 2.96, 4 Sm 2.96
Co: 0.2500 0.2500 0.2500 x4  4 Sc 2.96, 4 Sm 2.96

***

5.
Below is KFe2Rh after structural relaxation, with properties calculated at the PBE-GGA level.

Output
crystal system: tetragonal
volume: 65.4 Å³/cell
energy relative to the lowest polymorph listed for this composition: 502 meV per atom
E_form: 1029 meV per atom
energy: -0.195 Ha/atom

a = 4.8323 Å, b = 4.8323 Å, c = 2.8010 Å
α = 90.00°, β = 90.00°, γ = 90.00°
Closest atoms and distances in Å follow each position.
Space group P4/mmm (No. 123)
Inequivalent atoms, fractional coordinates:
K: 0.0000 0.0000 0.0000 x1  8 Fe 2.79, 2 K 2.80
Fe: 0.0000 0.5000 0.5000 x2  4 Rh 2.79, 4 K 2.79, 2 Fe 2.80
Rh: 0.5000 0.5000 0.0000 x1  8 Fe 2.79, 2 Rh 2.80

***

6.
Below is Na2CeInCl8 after structural relaxation, with properties calculated at the PBE-GGA level.

Output
raw formation energy: -1.6805 eV per atom
crystal system: monoclinic
volume: 347.3 Å³/cell
energy: -0.142 Ha/atom

a = 6.4048 Å, b = 8.2865 Å, c = 6.5576 Å
α = 90.00°, β = 93.60°, γ = 90.00°
Closest atoms and distances in Å follow each position.
Space group P2/m (No. 10)
Inequivalent atoms, fractional coordinates:
Na: 0.0000 0.2427 0.0000 x2  6 Cl 2.77-2.98
Ce: 0.5000 0.5000 0.5000 x1  6 Cl 2.70-2.83
In: 0.5000 0.0000 0.5000 x1  6 Cl 2.49-2.62
Cl: 0.2243 0.5000 0.1717 x2  1 Ce 2.70, 2 Na 2.77
Cl: 0.2488 0.0000 0.1949 x2  1 In 2.49
Cl: 0.2880 0.2333 0.6606 x4  1 In 2.62, 1 Ce 2.83

***

7.
Below is BaZrMn2C after structural relaxation, with properties calculated at the PBE-GGA level.

Output
crystal system: tetragonal
volume: 90.2 Å³/cell
E_form: 601 meV per atom
energy: -0.257 Ha/atom

a = 4.3441 Å, b = 4.3441 Å, c = 4.7781 Å
α = 90.00°, β = 90.00°, γ = 90.00°
Closest atoms and distances in Å follow each position.
Space group P4/mmm (No. 123)
Inequivalent atoms, fractional coordinates:
Ba: 0.0000 0.0000 0.0000 x1  4 Zr 3.07, 8 Mn 3.23
Zr: 0.5000 0.5000 0.0000 x1  2 C 2.39
Mn: 0.0000 0.5000 0.5000 x2  2 C 2.17
C: 0.5000 0.5000 0.5000 x1  4 Mn 2.17, 2 Zr 2.39

***

8.
Below is HoTiOs4 after structural relaxation, with properties calculated at the PBE-GGA level.

Output
crystal system: cubic
volume: 407.4 Å³/cell
E_form: -166 meV per atom
energy: -0.358 Ha/atom

a = 7.4131 Å, b = 7.4131 Å, c = 7.4131 Å
α = 90.00°, β = 90.00°, γ = 90.00°
Closest atoms and distances in Å follow each position.
Space group F-43m (No. 216)
Inequivalent atoms, fractional coordinates:
Ho: 0.0000 0.0000 0.0000 x4  12 Os 3.07, 4 Ti 3.21
Ti: 0.2500 0.2500 0.2500 x4  12 Os 3.07, 4 Ho 3.21
Os: 0.1247 0.1247 0.6247 x16  6 Os 2.61-2.63

***

9.
Below is Sc2Os after structural relaxation, with properties calculated at the PBE-GGA level.

Output
crystal system: cubic
volume: 256.5 Å³/cell
E_form: -253 meV per atom
energy: -0.302 Ha/atom

a = 6.3535 Å, b = 6.3535 Å, c = 6.3535 Å
α = 90.00°, β = 90.00°, γ = 90.00°
Closest atoms and distances in Å follow each position.
Space group Fm-3m (No. 225)
Inequivalent atoms, fractional coordinates:
Sc: 0.2500 0.2500 0.2500 x8  4 Os 2.75
Os: 0.0000 0.0000 0.0000 x4  8 Sc 2.75

***

10.
Below is LiLaTbHo after structural relaxation, with properties calculated at the PBE-GGA level.

Output
crystal system: cubic
volume: 489.8 Å³/cell
E_form: 165 meV per atom
energy: -0.141 Ha/atom

a = 7.8826 Å, b = 7.8826 Å, c = 7.8826 Å
α = 90.00°, β = 90.00°, γ = 90.00°
Closest atoms and distances in Å follow each position.
Space group F-43m (No. 216)
Inequivalent atoms, fractional coordinates:
Li: 0.0000 0.0000 0.0000 x4  4 Tb 3.41, 4 La 3.41
La: 0.2500 0.2500 0.2500 x4  4 Li 3.41, 4 Ho 3.41
Tb: 0.2500 0.2500 0.7500 x4  4 Li 3.41, 4 Ho 3.41
Ho: 0.0000 0.0000 0.5000 x4  4 Tb 3.41, 4 La 3.41

***

11.
Below is Ir4RuRh after structural relaxation, with properties calculated at the PBE-GGA level.

Output
crystal system: cubic
volume: 376.5 Å³/cell
energy relative to the lowest polymorph listed for this composition: 633 meV per atom
E_form: 611 meV per atom
energy: -0.296 Ha/atom

a = 7.2212 Å, b = 7.2212 Å, c = 7.2212 Å
α = 90.00°, β = 90.00°, γ = 90.00°
Closest atoms and distances in Å follow each position.
Space group F-43m (No. 216)
Inequivalent atoms, fractional coordinates:
Ir: 0.1250 0.1250 0.1250 x16  6 Ir 2.55
Ru: 0.0000 0.0000 0.5000 x4  12 Ir 2.99, 4 Rh 3.13
Rh: 0.2500 0.2500 0.7500 x4  12 Ir 2.99, 4 Ru 3.13

***

12.
Below is Ho4MgZn2Pd after structural relaxation, with properties calculated at the PBE-GGA level.

Output
crystal system: trigonal
volume: 552.6 Å³/cell
E_form: -419 meV per atom
energy: -0.142 Ha/atom

a = 5.0705 Å, b = 5.0705 Å, c = 24.8199 Å
α = 90.00°, β = 90.00°, γ = 120.00°
Closest atoms and distances in Å follow each position.
Space group R-3m (No. 166, hexagonal axes)
Inequivalent atoms, fractional coordinates:
Ho: 0.0000 0.0000 0.1173 x6  1 Pd 2.91, 4 Zn 2.99-3.04, 3 Mg 3.17
Ho: 0.0000 0.0000 0.3700 x6  3 Pd 3.07, 1 Mg 3.23, 4 Zn 3.23-3.25
Mg: 0.0000 0.0000 0.5000 x3  8 Ho 3.17-3.23, 6 Zn 3.44
Zn: 0.0000 0.0000 0.2397 x6  8 Ho 2.99-3.25
Pd: 0.0000 0.0000 0.0000 x3  8 Ho 2.91-3.07